Entry from Alexandria: a PBEsol-optimized structure of LiFeRe2 (SCAN).

Cell lengths 3.0020, 4.1670, 4.8333 Å; angles 115.54, 108.09, 90.00 degrees
Each line ends with the local moment (μB).
Element x y z (fractional)
Fe 0.5000 0.0000 0.0000  2.46
Li 0.0000 0.5000 0.0000  -0.01
Re 0.7545 0.7545 0.5090  -0.11
Re 0.2455 0.2455 0.4910  -0.11

Summary:
* E above lowest polymorph: 0 meV per atom